No. 1
First-principles (GGA-PBE) data for Li8RhAu2 after structural relaxation, as listed in Alexandria via LeMat-Bulk.

POSCAR file:
```
Li8RhAu2
1.0
-2.199 3.653 5.353
2.199 -3.653 5.353
2.199 3.653 -5.353
Li Rh Au
8 1 2
Direct
0.130 0.130 0.000
0.155 0.354 0.801
0.317 0.000 0.317
0.446 0.646 0.801
0.554 0.354 0.199
0.683 0.000 0.683
0.845 0.646 0.199
0.870 0.870 0.000
0.000 0.500 0.500
0.275 0.775 0.500
0.725 0.225 0.500
```

Density of states at the Fermi level in states/eV per cell: 3.9
E_tot in eV per atom: -2.949
Calculated volume in Å³/atom: 15.64

***

No. 2
First-principles (GGA-PBE) data for K2CaThTe4 after structural relaxation, as listed in Alexandria via LeMat-Bulk.

POSCAR file:
```
K2CaThTe4
1.0
7.972 0.000 0.000
0.000 4.644 0.000
-2.648 0.000 8.225
K Ca Th Te
2 1 1 4
Direct
0.000 0.000 0.000
0.500 0.500 0.000
0.000 0.500 0.500
0.500 0.000 0.500
0.245 0.000 0.711
0.269 0.500 0.287
0.731 0.500 0.713
0.755 0.000 0.289
```

Formation energy (no corrections) in eV/atom: -1.35
Calculated volume in Å³/atom: 38.06

***

No. 3
First-principles (GGA-PBE) data for Sm3Tm2Hg2 after structural relaxation, as listed in Alexandria via LeMat-Bulk.

POSCAR file:
```
Sm3Tm2Hg2
1.0
2.489 -11.426 0.000
2.489 11.426 0.000
0.000 0.000 3.515
Sm Tm Hg
3 2 2
Direct
0.000 0.000 0.000
0.146 0.854 0.000
0.854 0.146 0.000
0.290 0.710 0.500
0.710 0.290 0.500
0.429 0.571 0.500
0.571 0.429 0.500
```

Density of states at the Fermi level in states/eV per cell: 7.9
ΔE to the lowest computed polymorph in kJ/mol of atoms: 11.6
Calculated volume in Å³/atom: 28.57

***

No. 4
First-principles (GGA-PBE) data for ReSnAsBr2 after structural relaxation, as listed in Alexandria via LeMat-Bulk.

POSCAR file:
```
ReSnAsBr2
1.0
5.261 0.000 0.000
0.000 5.261 0.000
0.000 0.000 4.768
Re Sn As Br
1 1 1 2
Direct
0.000 0.000 0.000
0.500 0.500 0.500
0.000 0.000 0.500
0.000 0.500 0.000
0.500 0.000 0.000
```

Density of states at the Fermi level in states/eV per cell: 5.6
Formation energy (no corrections) in eV/atom: 0.55
ΔE to the lowest computed polymorph in kJ/mol of atoms: 0.0
Calculated volume in Å³/atom: 26.39

***

No. 5
First-principles (GGA-PBE) data for Cr2CoNi6 after structural relaxation, as listed in Alexandria via LeMat-Bulk.

POSCAR file:
```
Cr2CoNi6
1.0
0.000 5.268 5.361
1.741 0.000 5.361
1.741 5.268 0.000
Cr Co Ni
2 1 6
Direct
0.168 0.832 0.168
0.832 0.168 0.832
0.500 0.500 0.500
0.165 0.165 0.835
0.169 0.502 0.498
0.498 0.831 0.169
0.502 0.169 0.831
0.831 0.498 0.502
0.835 0.835 0.165
```

Density of states at the Fermi level in states/eV per cell: 12.0
ΔE to the lowest computed polymorph in kJ/mol of atoms: 0.0
Calculated volume in Å³/atom: 10.92

***

No. 6
First-principles (GGA-PBE) data for NpRhN after structural relaxation, as listed in Alexandria via LeMat-Bulk.

POSCAR file:
```
NpRhN
1.0
0.000 4.722 6.201
3.784 0.000 6.201
3.784 4.722 0.000
Np Rh N
4 4 4
Direct
0.093 0.657 0.093
0.343 0.907 0.343
0.657 0.093 0.657
0.907 0.343 0.907
0.263 0.263 0.487
0.487 0.487 0.263
0.513 0.513 0.737
0.737 0.737 0.513
0.000 0.000 0.000
0.000 0.000 0.500
0.000 0.500 0.000
0.500 0.000 0.000
```

Density of states at the Fermi level in states/eV per cell: 25.9
Formation energy (no corrections) in eV/atom: -0.02
Calculated volume in Å³/atom: 18.47

***

No. 7
First-principles (GGA-PBE) data for La2CdSnIr after structural relaxation, as listed in Alexandria via LeMat-Bulk.

POSCAR file:
```
La2CdSnIr
1.0
5.587 0.000 0.000
0.000 5.587 0.000
0.000 0.000 5.115
La Cd Sn Ir
2 1 1 1
Direct
0.000 0.500 0.000
0.500 0.000 0.000
0.000 0.000 0.500
0.500 0.500 0.500
0.500 0.500 0.000
```

Density of states at the Fermi level in states/eV per cell: 5.8
ΔE to the lowest computed polymorph in kJ/mol of atoms: 14.6
Calculated volume in Å³/atom: 31.94

***

No. 8
First-principles (GGA-PBE) data for DyHoTmMg after structural relaxation, as listed in Alexandria via LeMat-Bulk.

POSCAR file:
```
DyHoTmMg
1.0
3.544 0.000 0.000
0.000 3.544 0.000
0.000 0.000 9.269
Dy Ho Tm Mg
1 1 1 1
Direct
0.000 0.000 0.000
0.000 0.000 0.522
0.500 0.500 0.261
0.500 0.500 0.760
```

Density of states at the Fermi level in states/eV per cell: 5.2
ΔE to the lowest computed polymorph in kJ/mol of atoms: 0.0
Calculated volume in Å³/atom: 29.11